VASP calculation (meta-GGA SCAN) on LaSiNi2 at its PBEsol-relaxed geometry.

a = 3.247 Å, b = 4.423 Å, c = 4.423 Å
α = 90.00°, β = 90.00°, γ = 90.00°
Element x y z (fractional)
La: 0.500 0.000 0.000
Si: 0.500 0.500 0.500
Ni: 0.000 0.500 0.000
Ni: 0.000 0.000 0.500

## Properties
The energy relative to the elements, uncorrected is 0.05 eV/f.u. The value obtained for the volume is 64 Å³/cell.